No. 1
The following is a DFT calculation (GGA-PBE) of ZnPRu2 after structural relaxation.

Properties
Space group: R3m (160)
Energy above the most stable polymorph in this dataset in eV per formula unit: 1.16

Unit cell a=8.349 b=8.349 c=8.349 alpha=19.50 beta=19.50 gamma=19.50
Element x y z (fractional)
Zn (0.501, 0.501, 0.501)
P (0.257, 0.257, 0.257)
Ru (0.993, 0.993, 0.993)
Ru (0.749, 0.749, 0.749)



No. 2
The following is a DFT calculation (GGA-PBE) of NpPd4Pt after structural relaxation.

Properties
Space group: Cmmm (65)
Energy above the most stable polymorph in this dataset in eV per formula unit: 2.02

Unit cell a=5.530 b=7.907 c=5.415 alpha=90.00 beta=90.00 gamma=90.03
Element x y z (fractional)
Np (0.000, 0.250, 0.750)
Np (0.000, 0.750, 0.250)
Pd (0.257, 0.500, 0.000)
Pd (0.257, 0.500, 0.500)
Pd (0.743, 0.000, 0.000)
Pd (0.743, 0.500, 0.500)
Pd (0.743, 0.000, 0.500)
Pd (0.257, 0.000, 0.000)
Pd (0.257, 0.000, 0.500)
Pd (0.743, 0.500, 0.000)
Pt (0.500, 0.250, 0.250)
Pt (0.500, 0.750, 0.750)



No. 3
The following is a DFT calculation (GGA-PBE) of TbP2Ir after structural relaxation.

Properties
Space group: R-3m (166)

Unit cell a=4.857 b=4.857 c=4.417 alpha=56.64 beta=56.64 gamma=60.00
Element x y z (fractional)
P (0.231, 0.231, 0.308)
P (0.769, 0.769, 0.692)
Ir (0.000, 0.000, 0.000)
Tb (0.500, 0.500, 0.500)



no.,energy of formation from the pure elements (eV per atom)
1,0.034
2,0.000
3,-0.471